(1)
Density functional theory data (SCAN) for a crystal of SrMg2Fe relaxed with PBEsol.

**ΔH_f (0 K)**: 320 meV per atom
**Space-group type**: Immm, No. 71
**Total energy**: -49.074 eV/f.u.
**Total moment**: 2.4 μB per cell

Cell: 6.335 6.335 6.335 Å, 150.44 130.93 58.33°
Fractional positions:
1 Sr 0.000 0.000 0.000
2 Mg 0.298 0.798 0.500
3 Mg 0.702 0.202 0.500
4 Fe 0.500 0.500 0.000

(2)
Density functional theory data (SCAN) for a crystal of SrMgFe relaxed with PBEsol.

**ΔH_f (0 K)**: 516 meV per atom
**Space-group type**: P-6m2, No. 187
**Total energy**: -43.830 eV/f.u.
**Total moment**: 2.7 μB per cell

Cell: 4.812 4.812 3.808 Å, 90.00 90.00 120.00°
Fractional positions:
1 Sr 0.000 0.000 0.000
2 Mg 0.667 0.333 0.500
3 Fe 0.333 0.667 0.500

(3)
Density functional theory data (SCAN) for a crystal of MgTaFe relaxed with PBEsol.

**ΔH_f (0 K)**: 655 meV per atom
**Space-group type**: F-43m, No. 216
**Total energy**: -87.720 eV/f.u.
**Total moment**: 0.0 μB per cell

Cell: 4.147 4.147 4.147 Å, 60.00 60.00 60.00°
Fractional positions:
1 Mg 0.000 0.000 0.000
2 Ta 0.500 0.500 0.500
3 Fe 0.750 0.750 0.750

(4)
Density functional theory data (SCAN) for a crystal of MgTa2Fe relaxed with PBEsol.

**ΔH_f (0 K)**: 278 meV per atom
**Space-group type**: Imm2, No. 44
**Total energy**: -155.156 eV/f.u.
**Total moment**: 0.0 μB per cell

Cell: 5.298 5.298 5.298 Å, 146.89 128.60 62.51°
Fractional positions:
1 Mg 0.000 0.000 0.000
2 Ta 0.444 0.444 0.000
3 Ta 0.716 0.216 0.500
4 Fe 0.233 0.733 0.500

(5)
Density functional theory data (SCAN) for a crystal of MgTa2Fe relaxed with PBEsol.

**ΔH_f (0 K)**: 406 meV per atom
**Space-group type**: I-4m2, No. 119
**Total energy**: -154.648 eV/f.u.
**Total moment**: 2.4 μB per cell

Cell: 5.064 5.064 5.064 Å, 135.47 135.47 64.80°
Fractional positions:
1 Mg 0.000 0.000 0.000
2 Ta 0.500 0.500 0.000
3 Ta 0.750 0.250 0.500
4 Fe 0.250 0.750 0.500

(6)
Density functional theory data (SCAN) for a crystal of MgTa2Fe relaxed with PBEsol.

**ΔH_f (0 K)**: 297 meV per atom
**Space-group type**: P4/mmm, No. 123
**Total energy**: -155.082 eV/f.u.
**Total moment**: 1.9 μB per cell

Cell: 3.952 3.952 4.056 Å, 90.00 90.00 90.00°
Fractional positions:
1 Mg 0.000 0.000 0.000
2 Ta 0.000 0.500 0.500
3 Ta 0.500 0.000 0.500
4 Fe 0.500 0.500 0.000

(7)
Density functional theory data (SCAN) for a crystal of Mg3FeTc relaxed with PBEsol.

**ΔH_f (0 K)**: 1205 meV per atom
**Space-group type**: Pm-3m, No. 221
**Total energy**: -62.085 eV/f.u.
**Total moment**: 4.4 μB per cell

Cell: 4.891 4.891 4.891 Å, 90.00 90.00 90.00°
Fractional positions:
1 Mg 0.000 0.000 0.500
2 Mg 0.000 0.500 0.000
3 Mg 0.500 0.000 0.000
4 Fe 0.500 0.500 0.500
5 Tc 0.000 0.000 0.000

(8)
Density functional theory data (SCAN) for a crystal of MgFe2Tc relaxed with PBEsol.

**ΔH_f (0 K)**: 288 meV per atom
**Space-group type**: C2/m, No. 12
**Total energy**: -75.140 eV/f.u.
**Total moment**: 5.3 μB per cell

Cell: 4.480 4.480 4.877 Å, 93.77 93.77 32.75°
Fractional positions:
1 Mg 0.000 0.000 0.000
2 Fe 0.250 0.250 0.736
3 Fe 0.750 0.750 0.264
4 Tc 0.500 0.500 0.500

(9)
Density functional theory data (SCAN) for a crystal of MgFe2Tc relaxed with PBEsol.

**ΔH_f (0 K)**: 145 meV per atom
**Space-group type**: P4mm, No. 99
**Total energy**: -75.711 eV/f.u.
**Total moment**: 4.9 μB per cell

Cell: 2.785 2.785 6.937 Å, 90.00 90.00 90.00°
Fractional positions:
1 Mg 0.000 0.000 0.000
2 Fe 0.000 0.000 0.521
3 Fe 0.500 0.500 0.722
4 Tc 0.500 0.500 0.302

(10)
Density functional theory data (SCAN) for a crystal of MgFe2Tc relaxed with PBEsol.

**ΔH_f (0 K)**: 423 meV per atom
**Space-group type**: P4/mmm, No. 123
**Total energy**: -74.601 eV/f.u.
**Total moment**: 0.8 μB per cell

Cell: 4.161 4.161 2.835 Å, 90.00 90.00 90.00°
Fractional positions:
1 Mg 0.000 0.000 0.000
2 Fe 0.000 0.500 0.500
3 Fe 0.500 0.000 0.500
4 Tc 0.500 0.500 0.000

(11)
Density functional theory data (SCAN) for a crystal of MgFe2Tc relaxed with PBEsol.

**ΔH_f (0 K)**: 205 meV per atom
**Space-group type**: Cmmm, No. 65
**Total energy**: -75.474 eV/f.u.
**Total moment**: 5.0 μB per cell

Cell: 2.585 2.585 8.316 Å, 90.00 90.00 106.55°
Fractional positions:
1 Mg 0.000 0.000 0.000
2 Fe 0.500 0.500 0.262
3 Fe 0.500 0.500 0.738
4 Tc 0.000 0.000 0.500

(12)
Density functional theory data (SCAN) for a crystal of MgFe2Tc relaxed with PBEsol.

**ΔH_f (0 K)**: 181 meV per atom
**Space-group type**: Pm, No. 6
**Total energy**: -75.568 eV/f.u.
**Total moment**: 5.2 μB per cell

Cell: 2.557 4.186 4.939 Å, 90.00 99.59 90.00°
Fractional positions:
1 Mg 0.000 0.000 0.000
2 Fe 0.316 0.500 0.773
3 Fe 0.463 0.000 0.511
4 Tc 0.727 0.500 0.298

> total moment of number 1 (SrMg2Fe)?

2.4 μB per cell

> Among the records above, which one has the lowest total energy?

number 4